# Ba2NaPaBi6, relaxed, DFT PBE
data_Ba2NaPaBi6
_cell_length_a 11.698
_cell_length_b 11.698
_cell_length_c 11.698
_cell_angle_alpha 90.00
_cell_angle_beta 90.00
_cell_angle_gamma 90.00
_space_group_name_H-M_alt 'F m -3 m'
_space_group_IT_number 225
_space_group_name_Hall '-F 4 2 3'
loop_
_atom_site_label
_atom_site_type_symbol
_atom_site_fract_x
_atom_site_fract_y
_atom_site_fract_z
Ba1 Ba 0.250 0.250 0.250
Na1 Na 0.000 0.000 0.000
Pa1 Pa 0.000 0.000 0.500
Bi1 Bi 0.000 0.000 0.245
# ΔE_f in eV per atom: -0.1264
# Density of states at the Fermi level in states/eV/f.u.: 10.09